A plane-wave DFT calculation with PBE-GGA was carried out for an optimized crystal structure of TiMnRePt.

The electronic total energy is -147.42 eV for the cell shown. For the energy of formation, the calculation gives -325 meV/atom.

The space group is F-43m (No. 216) and the conventional cell measures 6.180, 6.180 and 6.180 Å, with angles of 90.00, 90.00 and 90.00 degrees. The asymmetric unit holds Ti at (0.000, 0.000, 0.000), Mn at (0.000, 0.000, 0.500), Re at (0.250, 0.250, 0.250) and Pt at (0.250, 0.250, 0.750).